Compound: TmZnCu
Source: Alexandria via LeMat-Bulk
Functional: GGA-PBE
Structure: relaxed

For the volume, the calculation gives 18.2 Å³ per atom. The uncorrected energy is -3.49 eV/atom. Its space group is I4mm (107). The formation enthalpy at 0 K comes out at -0.618 eV per formula unit. The density is 9.04 g cm⁻³.

abc: 5.376 5.376 5.376
angles: 143.47 143.47 52.62
Positions (direct):
Tm 0.000 0.000 0.000
Zn 0.692 0.692 0.000
Cu 0.315 0.315 0.000

Compound: TmZn2Cu6
Source: Alexandria via LeMat-Bulk
Functional: GGA-PBE
Structure: relaxed

For the volume, the calculation gives 15.0 Å³ per atom. The uncorrected energy is -3.51 eV/atom. Its space group is Immm (71). The formation enthalpy at 0 K comes out at 0.040 eV per formula unit. The density is 8.36 g cm⁻³.

abc: 7.330 7.330 7.330
angles: 155.40 123.81 62.25
Positions (direct):
Tm 0.000 0.000 0.000
Zn 0.357 0.857 0.500
Zn 0.643 0.143 0.500
Cu 0.005 0.321 0.684
Cu 0.331 0.500 0.831
Cu 0.362 0.679 0.684
Cu 0.638 0.321 0.316
Cu 0.669 0.500 0.169
Cu 0.995 0.679 0.316

Compound: TmZn12Cu7
Source: Alexandria via LeMat-Bulk
Functional: GGA-PBE
Structure: relaxed

For the volume, the calculation gives 17.6 Å³ per atom. The uncorrected energy is -2.22 eV/atom. Its space group is Im-3 (204). The formation enthalpy at 0 K comes out at 4.071 eV per formula unit. The density is 6.59 g cm⁻³.

abc: 7.706 7.706 7.706
angles: 109.47 109.47 109.47
Positions (direct):
Tm 0.000 0.000 0.000
Zn 0.105 0.758 0.347
Zn 0.242 0.347 0.590
Zn 0.242 0.653 0.895
Zn 0.347 0.105 0.758
Zn 0.347 0.590 0.242
Zn 0.410 0.758 0.653
Zn 0.590 0.242 0.347
Zn 0.653 0.410 0.758
Zn 0.653 0.895 0.242
Zn 0.758 0.347 0.105
Zn 0.758 0.653 0.410
Zn 0.895 0.242 0.653
Cu 0.000 0.000 0.500
Cu 0.000 0.500 0.000
Cu 0.000 0.500 0.500
Cu 0.500 0.000 0.000
Cu 0.500 0.000 0.500
Cu 0.500 0.500 0.000
Cu 0.500 0.500 0.500

Compound: TmZn5Cu2
Source: Alexandria via LeMat-Bulk
Functional: GGA-PBE
Structure: relaxed

For the volume, the calculation gives 16.3 Å³ per atom. The uncorrected energy is -2.57 eV/atom. Its space group is Immm (71). The formation enthalpy at 0 K comes out at -1.498 eV per formula unit. The density is 7.96 g cm⁻³.

abc: 6.227 6.227 6.227
angles: 144.17 108.99 82.18
Positions (direct):
Tm 0.000 0.000 0.000
Zn 0.165 0.354 0.811
Zn 0.458 0.646 0.811
Zn 0.500 0.000 0.500
Zn 0.542 0.354 0.189
Zn 0.835 0.646 0.189
Cu 0.240 0.740 0.500
Cu 0.760 0.260 0.500

Compound: Tm2Zn3Cu
Source: Alexandria via LeMat-Bulk
Functional: GGA-PBE
Structure: relaxed

For the volume, the calculation gives 19.1 Å³ per atom. The uncorrected energy is -3.16 eV/atom. Its space group is Pmm2 (25). The formation enthalpy at 0 K comes out at -2.077 eV per formula unit. The density is 8.64 g cm⁻³.

abc: 3.444 4.357 7.652
angles: 90.00 90.00 90.00
Positions (direct):
Tm 0.000 0.000 0.000
Tm 0.000 0.500 0.483
Zn 0.500 0.000 0.655
Zn 0.500 0.500 0.157
Zn 0.500 0.500 0.823
Cu 0.500 0.000 0.325

Compound: TmZn6Cu4
Source: Alexandria via LeMat-Bulk
Functional: GGA-PBE
Structure: relaxed

For the volume, the calculation gives 16.6 Å³ per atom. The uncorrected energy is -2.65 eV/atom. Its space group is I-42m (121). The formation enthalpy at 0 K comes out at -0.666 eV per formula unit. The density is 7.43 g cm⁻³.

abc: 6.398 6.398 6.398
angles: 120.97 120.97 88.33
Positions (direct):
Tm 0.000 0.000 0.000
Zn 0.000 0.500 0.500
Zn 0.105 0.485 0.000
Zn 0.485 0.105 0.000
Zn 0.500 0.000 0.500
Zn 0.515 0.515 0.620
Zn 0.895 0.895 0.380
Cu 0.260 0.260 0.670
Cu 0.409 0.740 0.000
Cu 0.591 0.591 0.330
Cu 0.740 0.409 0.000

Compound: Tm2Zn6Cu3
Source: Alexandria via LeMat-Bulk
Functional: GGA-PBE
Structure: relaxed

For the volume, the calculation gives 17.1 Å³ per atom. The uncorrected energy is -2.83 eV/atom. Its space group is P-62m (189). The formation enthalpy at 0 K comes out at -2.221 eV per formula unit. The density is 8.11 g cm⁻³.

abc: 7.361 7.361 4.017
angles: 90.00 90.00 120.00
Positions (direct):
Tm 0.333 0.667 0.000
Tm 0.667 0.333 0.000
Zn 0.000 0.202 0.000
Zn 0.000 0.723 0.500
Zn 0.202 0.000 0.000
Zn 0.277 0.277 0.500
Zn 0.723 0.000 0.500
Zn 0.798 0.798 0.000
Cu 0.000 0.395 0.500
Cu 0.395 0.000 0.500
Cu 0.605 0.605 0.500

Compound: Tm2Zn5Cu
Source: Alexandria via LeMat-Bulk
Functional: GGA-PBE
Structure: relaxed

For the volume, the calculation gives 18.2 Å³ per atom. The uncorrected energy is -2.71 eV/atom. Its space group is Cmcm (63). The formation enthalpy at 0 K comes out at -2.293 eV per formula unit. The density is 8.29 g cm⁻³.

abc: 8.163 8.163 8.826
angles: 90.00 90.00 150.24
Positions (direct):
Tm 0.000 0.000 0.000
Tm 0.000 0.000 0.500
Tm 0.190 0.810 0.750
Tm 0.810 0.190 0.250
Zn 0.192 0.808 0.105
Zn 0.192 0.808 0.395
Zn 0.356 0.644 0.026
Zn 0.356 0.644 0.474
Zn 0.397 0.603 0.750
Zn 0.603 0.397 0.250
Zn 0.644 0.356 0.526
Zn 0.644 0.356 0.974
Zn 0.808 0.192 0.605
Zn 0.808 0.192 0.895
Cu 0.449 0.551 0.250
Cu 0.551 0.449 0.750

Compound: Tm2Zn2Cu3
Source: Alexandria via LeMat-Bulk
Functional: GGA-PBE
Structure: relaxed

For the volume, the calculation gives 17.4 Å³ per atom. The uncorrected energy is -3.67 eV/atom. Its space group is C2/m (12). The formation enthalpy at 0 K comes out at -1.881 eV per formula unit. The density is 8.97 g cm⁻³.

abc: 5.369 5.369 6.519
angles: 110.09 110.09 44.41
Positions (direct):
Tm 0.138 0.138 0.262
Tm 0.862 0.862 0.738
Zn 0.152 0.152 0.732
Zn 0.848 0.848 0.268
Cu 0.396 0.396 0.076
Cu 0.500 0.500 0.500
Cu 0.604 0.604 0.924

Compound: TmZn4Cu
Source: Alexandria via LeMat-Bulk
Functional: GGA-PBE
Structure: relaxed

For the volume, the calculation gives 16.9 Å³ per atom. For the distance to the lowest polymorph of the same formula, the calculation gives 0 meV/atom. The uncorrected energy is -2.51 eV/atom. Its space group is Cmcm (63). The formation enthalpy at 0 K comes out at -1.367 eV per formula unit. The density is 8.09 g cm⁻³.

abc: 7.876 7.876 6.720
angles: 90.00 90.00 150.89
Positions (direct):
Tm 0.123 0.877 0.750
Tm 0.877 0.123 0.250
Zn 0.072 0.928 0.250
Zn 0.323 0.677 0.558
Zn 0.323 0.677 0.942
Zn 0.500 0.500 0.000
Zn 0.500 0.500 0.500
Zn 0.677 0.323 0.058
Zn 0.677 0.323 0.442
Zn 0.928 0.072 0.750
Cu 0.235 0.765 0.250
Cu 0.765 0.235 0.750

Compound: Tm7Zn2Cu2
Source: Alexandria via LeMat-Bulk
Functional: GGA-PBE
Structure: relaxed

For the volume, the calculation gives 25.5 Å³ per atom. The uncorrected energy is -3.83 eV/atom. Its space group is Cmmm (65). The formation enthalpy at 0 K comes out at -0.078 eV per formula unit. The density is 8.51 g cm⁻³.

abc: 6.554 6.554 6.991
angles: 90.00 90.00 110.67
Positions (direct):
Tm 0.000 0.000 0.000
Tm 0.000 0.500 0.267
Tm 0.000 0.500 0.733
Tm 0.500 0.000 0.267
Tm 0.500 0.000 0.733
Tm 0.500 0.500 0.254
Tm 0.500 0.500 0.746
Zn 0.168 0.168 0.500
Zn 0.832 0.832 0.500
Cu 0.300 0.700 0.000
Cu 0.700 0.300 0.000

Compound: TmZn2Cu
Source: Alexandria via LeMat-Bulk
Functional: GGA-PBE
Structure: relaxed

For the volume, the calculation gives 17.2 Å³ per atom. The uncorrected energy is -2.94 eV/atom. Its space group is P4/mmm (123). The formation enthalpy at 0 K comes out at -0.654 eV per formula unit. The density is 8.79 g cm⁻³.

abc: 3.162 3.162 6.863
angles: 90.00 90.00 90.00
Positions (direct):
Tm 0.000 0.000 0.000
Zn 0.500 0.500 0.301
Zn 0.500 0.500 0.699
Cu 0.000 0.000 0.500

Compound: Tm5Zn4Cu
Source: Alexandria via LeMat-Bulk
Functional: GGA-PBE
Structure: relaxed

For the volume, the calculation gives 21.4 Å³ per atom. The uncorrected energy is -3.49 eV/atom. Its space group is P4/mmm (123). The formation enthalpy at 0 K comes out at -3.372 eV per formula unit. The density is 9.06 g cm⁻³.

abc: 3.500 3.500 17.510
angles: 90.00 90.00 90.00
Positions (direct):
Tm 0.000 0.000 0.000
Tm 0.000 0.000 0.202
Tm 0.000 0.000 0.404
Tm 0.000 0.000 0.596
Tm 0.000 0.000 0.798
Zn 0.500 0.500 0.101
Zn 0.500 0.500 0.302
Zn 0.500 0.500 0.698
Zn 0.500 0.500 0.899
Cu 0.500 0.500 0.500

Compound: TmZn2Cu10
Source: Alexandria via LeMat-Bulk
Functional: GGA-PBE
Structure: relaxed

For the volume, the calculation gives 13.6 Å³ per atom. The uncorrected energy is -3.79 eV/atom. Its space group is Fmmm (69). The formation enthalpy at 0 K comes out at -1.353 eV per formula unit. The density is 8.78 g cm⁻³.

abc: 8.521 6.561 6.438
angles: 81.92 49.67 48.42
Positions (direct):
Tm 0.000 0.000 0.000
Zn 0.000 0.500 0.000
Zn 0.500 0.000 0.500
Cu 0.000 0.000 0.500
Cu 0.005 0.645 0.355
Cu 0.281 0.502 0.498
Cu 0.355 0.995 0.005
Cu 0.498 0.719 0.281
Cu 0.500 0.500 0.000
Cu 0.502 0.281 0.719
Cu 0.645 0.005 0.995
Cu 0.719 0.498 0.502
Cu 0.995 0.355 0.645

Compound: TmZn2Cu
Source: Alexandria via LeMat-Bulk
Functional: GGA-PBE
Structure: relaxed

For the volume, the calculation gives 18.0 Å³ per atom. The uncorrected energy is -2.92 eV/atom. Its space group is P4/mmm (123). The formation enthalpy at 0 K comes out at -0.583 eV per formula unit. The density is 8.36 g cm⁻³.

abc: 4.073 4.073 4.350
angles: 90.00 90.00 90.00
Positions (direct):
Tm 0.000 0.000 0.000
Zn 0.000 0.500 0.500
Zn 0.500 0.000 0.500
Cu 0.500 0.500 0.000

Compound: TmZn7Cu12
Source: Alexandria via LeMat-Bulk
Functional: GGA-PBE
Structure: relaxed

For the volume, the calculation gives 17.9 Å³ per atom. The uncorrected energy is -2.79 eV/atom. Its space group is Im-3 (204). The formation enthalpy at 0 K comes out at 6.661 eV per formula unit. The density is 6.46 g cm⁻³.

abc: 7.742 7.742 7.742
angles: 109.47 109.47 109.47
Positions (direct):
Tm 0.000 0.000 0.000
Zn 0.000 0.000 0.500
Zn 0.000 0.500 0.000
Zn 0.000 0.500 0.500
Zn 0.500 0.000 0.000
Zn 0.500 0.000 0.500
Zn 0.500 0.500 0.000
Zn 0.500 0.500 0.500
Cu 0.118 0.264 0.854
Cu 0.146 0.410 0.264
Cu 0.146 0.882 0.736
Cu 0.264 0.146 0.410
Cu 0.264 0.854 0.118
Cu 0.410 0.264 0.146
Cu 0.590 0.736 0.854
Cu 0.736 0.146 0.882
Cu 0.736 0.854 0.590
Cu 0.854 0.118 0.264
Cu 0.854 0.590 0.736
Cu 0.882 0.736 0.146

Compound: Tm2ZnCu
Source: Alexandria via LeMat-Bulk
Functional: GGA-PBE
Structure: relaxed

For the volume, the calculation gives 23.3 Å³ per atom. For the distance to the lowest polymorph of the same formula, the calculation gives 253 meV/atom. The uncorrected energy is -3.65 eV/atom. Its space group is R-3m (166). The formation enthalpy at 0 K comes out at -0.270 eV per formula unit. The density is 8.31 g cm⁻³.

abc: 8.423 8.423 8.423
angles: 24.92 24.92 24.92
Positions (direct):
Tm 0.244 0.244 0.244
Tm 0.756 0.756 0.756
Zn 0.000 0.000 0.000
Cu 0.500 0.500 0.500

Compound: Tm4ZnCu2
Source: Alexandria via LeMat-Bulk
Functional: GGA-PBE
Structure: relaxed

For the volume, the calculation gives 22.8 Å³ per atom. For the distance to the lowest polymorph of the same formula, the calculation gives 0 meV/atom. The uncorrected energy is -4.09 eV/atom. Its space group is R-3m (166). The formation enthalpy at 0 K comes out at -1.258 eV per formula unit. The density is 9.03 g cm⁻³.

abc: 8.308 8.308 8.308
angles: 33.98 33.98 33.98
Positions (direct):
Tm 0.121 0.121 0.121
Tm 0.372 0.372 0.372
Tm 0.628 0.628 0.628
Tm 0.879 0.879 0.879
Zn 0.500 0.500 0.500
Cu 0.247 0.247 0.247
Cu 0.753 0.753 0.753

Compound: Tm3ZnCu4
Source: Alexandria via LeMat-Bulk
Functional: GGA-PBE
Structure: relaxed

For the volume, the calculation gives 20.3 Å³ per atom. The uncorrected energy is -3.99 eV/atom. Its space group is Immm (71). The formation enthalpy at 0 K comes out at -0.819 eV per formula unit. The density is 8.45 g cm⁻³.

abc: 7.613 7.613 7.613
angles: 150.98 130.10 58.76
Positions (direct):
Tm 0.000 0.000 0.000
Tm 0.312 0.812 0.500
Tm 0.688 0.188 0.500
Zn 0.500 0.500 0.000
Cu 0.072 0.377 0.695
Cu 0.319 0.623 0.695
Cu 0.681 0.377 0.305
Cu 0.928 0.623 0.305

Compound: Tm2ZnCu
Source: Alexandria via LeMat-Bulk
Functional: GGA-PBE
Structure: relaxed

For the volume, the calculation gives 20.8 Å³ per atom. For the distance to the lowest polymorph of the same formula, the calculation gives 0 meV/atom. The uncorrected energy is -3.90 eV/atom. Its space group is P4/mmm (123). The formation enthalpy at 0 K comes out at -1.281 eV per formula unit. The density is 9.30 g cm⁻³.

abc: 3.468 3.468 6.934
angles: 90.00 90.00 90.00
Positions (direct):
Tm 0.000 0.000 0.243
Tm 0.000 0.000 0.757
Zn 0.500 0.500 0.500
Cu 0.500 0.500 0.000